Density functional theory data (PBE) for a relaxed structure of AlZnCuPb2.

Properties
SG ... No. 123
Final energy ... -13.797 eV for the cell shown

Lattice parameters (Å, degrees): 5.5092 4.6174 5.5092 90.00 90.00 90.00
Element x y z (fractional)
Pb1 0.0000 0.0000 0.5000
Pb2 0.5000 0.0000 0.0000
Zn1 0.5000 0.5000 0.5000
Al1 0.0000 0.0000 0.0000
Cu1 0.0000 0.5000 0.0000

=====

Density functional theory data (PBE) for a relaxed structure of ZrAlCu2Pb.

Properties
SG ... No. 123
Final energy ... -18.265 eV for the cell shown

Lattice parameters (Å, degrees): 4.7238 5.4802 4.7238 90.00 90.00 90.00
Element x y z (fractional)
Pb1 0.0000 0.5000 0.0000
Cu1 0.0000 0.0000 0.5000
Cu2 0.5000 0.0000 0.0000
Zr1 0.0000 0.0000 0.0000
Al1 0.5000 0.5000 0.5000

=====

Density functional theory data (PBE) for a relaxed structure of AlCuPd3.

Properties
SG ... No. 221
Polymorph energy (0 for the lowest one) ... 850 meV per atom

Lattice parameters (Å, degrees): 4.5298 4.5298 4.5298 90.00 90.00 90.00
Element x y z (fractional)
Cu1 0.5000 0.5000 0.5000
Pd1 0.0000 0.5000 0.0000
Pd2 0.0000 0.0000 0.5000
Pd3 0.5000 0.0000 0.0000
Al1 0.0000 0.0000 0.0000

=====

Density functional theory data (PBE) for a relaxed structure of AlCu7Pd12.

Properties
SG ... No. 148
Final energy ... -97.297 eV for the cell shown

Lattice parameters (Å, degrees): 6.9054 6.9054 6.9054 104.90 104.90 104.90
Element x y z (fractional)
Al1 0.0000 0.0000 0.0000
Cu1 0.1200 0.6822 0.0491
Cu2 0.3178 0.9509 0.8800
Cu3 0.9509 0.8800 0.3178
Cu4 0.5000 0.5000 0.5000
Cu5 0.0491 0.1200 0.6822
Cu6 0.6822 0.0491 0.1200
Cu7 0.8800 0.3178 0.9509
Pd1 0.7692 0.2756 0.5506
Pd2 0.7244 0.4494 0.2308
Pd3 0.3545 0.0706 0.2884
Pd4 0.9294 0.7116 0.6454
Pd5 0.4494 0.2308 0.7244
Pd6 0.7116 0.6454 0.9294
Pd7 0.2884 0.3545 0.0706
Pd8 0.5506 0.7692 0.2756
Pd9 0.0706 0.2884 0.3545
Pd10 0.6454 0.9294 0.7116
Pd11 0.2756 0.5506 0.7692
Pd12 0.2308 0.7244 0.4494

=====

Density functional theory data (PBE) for a relaxed structure of AlCuPd2.

Properties
SG ... No. 123
Final energy ... -20.613 eV for the cell shown

Lattice parameters (Å, degrees): 3.1097 3.1097 5.8037 90.00 90.00 90.00
Element x y z (fractional)
Cu1 0.5000 0.5000 0.0000
Pd1 0.0000 0.0000 0.7454
Pd2 0.0000 0.0000 0.2546
Al1 0.5000 0.5000 0.5000

=====

Density functional theory data (PBE) for a relaxed structure of AlCuPd.

Properties
SG ... No. 63
Polymorph energy (0 for the lowest one) ... 0 meV per atom

Lattice parameters (Å, degrees): 3.3796 3.9480 6.3990 90.00 105.31 90.00
Element x y z (fractional)
Al1 0.9072 0.7500 0.8144
Al2 0.0928 0.2500 0.1856
Cu1 0.7467 0.2500 0.4934
Cu2 0.2533 0.7500 0.5066
Pd1 0.4184 0.2500 0.8368
Pd2 0.5816 0.7500 0.1632

=====

Density functional theory data (PBE) for a relaxed structure of AlCuPd3.

Properties
SG ... No. 221
Polymorph energy (0 for the lowest one) ... 1077 meV per atom

Lattice parameters (Å, degrees): 4.5574 4.5574 4.5574 90.00 90.00 90.00
Element x y z (fractional)
Cu1 0.0000 0.0000 0.0000
Pd1 0.0000 0.5000 0.0000
Pd2 0.0000 0.0000 0.5000
Pd3 0.5000 0.0000 0.0000
Al1 0.5000 0.5000 0.5000

=====

Density functional theory data (PBE) for a relaxed structure of Al2CuPd.

Properties
SG ... No. 122
Final energy ... -34.358 eV for the cell shown

Lattice parameters (Å, degrees): 6.9092 6.9092 5.5586 51.58 51.58 90.00
Element x y z (fractional)
Cu1 0.5000 0.5000 0.0000
Cu2 0.2500 0.7500 0.5000
Pd1 0.0000 0.0000 0.0000
Pd2 0.7500 0.2500 0.5000
Al1 0.6199 0.1250 0.2500
Al2 0.1301 0.6250 0.2500
Al3 0.3750 0.3801 0.7500
Al4 0.8750 0.8699 0.7500